[1]
A PBEsol-optimized structure of PmSc3, computed with meta-GGA SCAN.

abc: 4.732 4.732 9.079
angles: 90.00 90.00 90.00
Space group I4/mmm (No. 139)
Unique sites:
Pm1 0.000 0.000 0.000
Sc1 0.000 0.000 0.500
Sc2 0.000 0.500 0.250

Summary:
DFT formation energy	0.3	eV/f.u.
E	-21.596	eV per atom
V	25.4	Å³ per atom
spin magnetization	0.7	Bohr magnetons per cell
calculated density	4572	kg/m³

=====

[2]
A PBEsol-optimized structure of PmSe2, computed with meta-GGA SCAN.

abc: 8.378 4.091 8.240
angles: 90.00 90.06 90.00
Space group P2_1/c (No. 14)
Unique sites:
Pm1 0.226 0.228 0.374
Se1 0.132 0.745 0.125
Se2 0.499 0.696 0.379

Summary:
excess energy over the best structure of this formula in the dataset	0	meV per atom
E	-29.895	eV per atom
V	23.5	Å³ per atom
spin magnetization	0.0	Bohr magnetons per cell
calculated density	7124	kg/m³

=====

[3]
A PBEsol-optimized structure of Pm2Se3, computed with meta-GGA SCAN.

abc: 11.314 4.094 10.907
angles: 90.00 90.00 90.00
Space group Pnma (No. 62)
Unique sites:
Pm1 0.012 0.250 0.187
Pm2 0.195 0.250 0.501
Se1 0.044 0.750 0.376
Se2 0.121 0.250 0.943
Se3 0.229 0.750 0.701

Summary:
E	-31.802	eV per atom
V	25.3	Å³ per atom
spin magnetization	0.0	Bohr magnetons per cell
calculated density	6927	kg/m³